NiCl2F, optimized geometry, DFT PBE+U; space-group type = Fm-3m, No. 225; E above lowest polymorph = 0.615 eV per atom; volume = 14.346 Å³ per atom
1.0
0.000 3.061 3.061
3.061 0.000 3.061
3.061 3.061 0.000
Ni Cl F
1 2 1
direct
0.000 0.000 0.000 Ni
0.250 0.250 0.250 Cl
0.750 0.750 0.750 Cl
0.500 0.500 0.500 F